1.
A plane-wave DFT calculation with GGA-PBEsol was carried out for a relaxed RbHfFeNi2 crystal.

Calculated values
* size of the total moment: 2.64 μB/f.u.
* DFT total energy: -4.070 eV per atom

a = 4.373 Å, b = 4.373 Å, c = 4.978 Å
α = 90.00°, β = 90.00°, γ = 90.00°
Atoms (fractional coordinates):
Rb  0.000  0.000  0.000
Hf  0.000  0.000  0.500
Fe  0.500  0.500  0.500
Ni  0.000  0.500  0.000
Ni  0.500  0.000  0.000

2.
A plane-wave DFT calculation with GGA-PBEsol was carried out for a relaxed HfFeRu2O crystal.

Calculated values
* size of the total moment: 2.79 μB/f.u.
* energy relative to the elements, uncorrected: -0.336 eV per atom
* DFT total energy: -9.348 eV per atom

a = 3.997 Å, b = 3.997 Å, c = 4.149 Å
α = 90.00°, β = 90.00°, γ = 90.00°
Atoms (fractional coordinates):
Hf  0.000  0.000  0.000
Fe  0.500  0.500  0.000
Ru  0.000  0.500  0.500
Ru  0.500  0.000  0.500
O  0.000  0.000  0.500